(1)
The following is a PBE calculation of a relaxed Dy8Tm2Th crystal, from the Alexandria database.

Cell lengths 18.048, 5.002, 7.913 Å; angles 90.00, 105.30, 90.00 degrees
Space group C2/m (No. 12)
Asymmetric unit:
Dy 0.045 0.000 0.232 x4
Dy 0.091 0.500 0.954 x4
Dy 0.136 0.000 0.682 x4
Dy 0.181 0.500 0.409 x4
Tm 0.228 0.000 0.136 x4
Th 0.000 0.500 0.500 x2

Calculated values
The formation energy from the elements comes out at 29 meV per atom. Its crystal system is monoclinic. The calculation puts the total energy at -4.81 eV per atom.

=====

(2)
The following is a PBE calculation of a relaxed Dy5Tm3Th3 crystal, from the Alexandria database.

Cell lengths 11.1202, 11.1202, 3.4156 Å; angles 90.00, 90.00, 120.00 degrees
Space group P-62m (No. 189)
Asymmetric unit:
Dy 0.0000 0.6602 0.0000 x3
Dy 0.3333 0.6667 0.0000 x2
Tm 0.0000 0.1605 0.0000 x3
Th 0.0000 0.4050 0.5000 x3

Calculated values
The formation energy from the elements comes out at 395 meV per atom. Its crystal system is hexagonal. The calculation puts the total energy at -4.94 eV per atom.

=====

(3)
The following is a PBE calculation of a relaxed Dy6TmTh3 crystal, from the Alexandria database.

Cell lengths 9.8200, 9.8200, 11.9715 Å; angles 90.00, 90.00, 120.00 degrees
Space group R-3 (No. 148, hexagonal axes)
Asymmetric unit:
Dy 0.0010 0.3323 0.2485 x18
Tm 0.0000 0.0000 0.5000 x3
Th 0.0000 0.0000 0.0000 x3
Th 0.0000 0.0000 0.2510 x6

Calculated values
The formation energy from the elements comes out at 347 meV per atom. Its crystal system is trigonal. The calculation puts the total energy at -5.09 eV per atom.

=====

(4)
The following is a PBE calculation of a relaxed Dy3Tm6Th crystal, from the Alexandria database.

Cell lengths 9.7150, 9.7150, 11.6644 Å; angles 90.00, 90.00, 120.00 degrees
Space group R32 (No. 155, hexagonal axes)
Asymmetric unit:
Dy 0.0000 0.0000 0.0000 x3
Dy 0.0000 0.0000 0.2422 x6
Tm 0.0000 0.3331 0.5000 x9
Tm 0.0000 0.6648 0.0000 x9
Th 0.0000 0.0000 0.5000 x3

Calculated values
The formation energy from the elements comes out at 318 meV per atom. Its crystal system is trigonal. The calculation puts the total energy at -4.49 eV per atom.

=====

Among the records above, which one has the lowest formation energy from the elements?
Dy8Tm2Th

=====

What is the formula in the first record?
Dy8Tm2Th

=====

Among the records above, which one has the lowest formation energy from the elements?
Dy8Tm2Th

=====

formation energy from the elements of number 1 (Dy8Tm2Th)?
29 meV per atom